An optimized crystal structure of BeMoIr2Rh. Source: Alexandria, functional PBE-GGA.

Geometry as extended XYZ:
```
5
Lattice="4.653 0.000 0.000 0.000 4.653 0.000 0.000 0.000 4.215" Properties=species:S:1:pos:R:3 pbc="T T T"
Be 0.000 0.000 0.000
Mo 0.000 0.000 2.108
Ir 0.000 2.326 2.108
Ir 2.326 0.000 2.108
Rh 2.326 2.326 0.000
```

Results
DOS(E_F) in states/eV per atom: 1.18
Total energy in hartree per atom: -0.2335
Crystal system: tetragonal

---

An optimized crystal structure of Sc2BeMoIr. Source: Alexandria, functional PBE-GGA.

Geometry as extended XYZ:
```
5
Lattice="4.622 0.000 0.000 0.000 4.622 0.000 0.000 0.000 4.107" Properties=species:S:1:pos:R:3 pbc="T T T"
Sc 0.000 2.311 0.000
Sc 2.311 0.000 0.000
Be 0.000 0.000 0.000
Mo 0.000 0.000 2.054
Ir 2.311 2.311 2.054
```

Results
DOS(E_F) in states/eV per atom: 1.12
Total energy in hartree per atom: -0.2512
Crystal system: tetragonal

---

An optimized crystal structure of BeSiMoIr. Source: Alexandria, functional PBE-GGA.

Geometry as extended XYZ:
```
4
Lattice="0.000 2.930 2.930 2.930 0.000 2.930 2.930 2.930 0.000" Properties=species:S:1:pos:R:3 pbc="T T T"
Be 0.000 0.000 0.000
Si 2.930 2.930 2.930
Mo 1.465 1.465 1.465
Ir 4.395 4.395 4.395
```

Results
DOS(E_F) in states/eV per atom: 1.21
Formation energy from raw total energies in eV per formula unit: -1.149
Crystal system: cubic

---

An optimized crystal structure of BeZnMoIr2. Source: Alexandria, functional PBE-GGA.

Geometry as extended XYZ:
```
5
Lattice="4.143 0.000 0.000 0.000 4.143 0.000 0.000 0.000 4.138" Properties=species:S:1:pos:R:3 pbc="T T T"
Be 0.000 0.000 0.000
Zn 0.000 0.000 2.069
Mo 2.072 2.072 2.069
Ir 0.000 2.072 0.000
Ir 2.072 0.000 0.000
```

Results
DOS(E_F) in states/eV per atom: 0.82
Total energy in hartree per atom: -0.2317
Crystal system: tetragonal

---

An optimized crystal structure of BeIrN3. Source: Alexandria, functional PBE-GGA.

Geometry as extended XYZ:
```
5
Lattice="3.835 0.000 0.000 0.000 3.835 0.000 0.000 0.000 3.835" Properties=species:S:1:pos:R:3 pbc="T T T"
Be 0.000 0.000 0.000
Ir 1.918 1.918 1.918
N 0.000 1.918 1.918
N 1.918 0.000 1.918
N 1.918 1.918 0.000
```

Results
DOS(E_F) in states/eV per atom: 0.67
Formation energy from raw total energies in eV per formula unit: 8.680
Crystal system: cubic

---

An optimized crystal structure of BeIrN3. Source: Alexandria, functional PBE-GGA.

Geometry as extended XYZ:
```
5
Lattice="3.461 0.000 0.000 0.000 3.461 0.000 0.000 0.000 3.461" Properties=species:S:1:pos:R:3 pbc="T T T"
Be 0.000 0.000 0.000
Ir 1.730 1.730 1.730
N 0.000 0.000 1.730
N 0.000 1.730 0.000
N 1.730 0.000 0.000
```

Results
DOS(E_F) in states/eV per atom: 0.69
Formation energy from raw total energies in eV per formula unit: 8.129
Crystal system: cubic

---

An optimized crystal structure of BeIrN2. Source: Alexandria, functional PBE-GGA.

Geometry as extended XYZ:
```
4
Lattice="1.343 0.775 6.021 -1.343 0.775 6.021 0.000 -1.550 6.021" Properties=species:S:1:pos:R:3 pbc="T T T"
Be 0.000 0.000 0.000
Ir 0.000 0.000 9.032
N 0.000 0.000 7.123
N 0.000 0.000 10.940
```

Results
DOS(E_F) in states/eV per atom: 0.55
Formation energy from raw total energies in eV per formula unit: 2.056
Crystal system: trigonal

---

An optimized crystal structure of BeIrN2. Source: Alexandria, functional PBE-GGA.

Geometry as extended XYZ:
```
8
Lattice="-2.194 2.194 4.105 2.194 -2.194 4.105 2.194 2.194 -4.105" Properties=species:S:1:pos:R:3 pbc="T T T"
Be 0.000 0.000 0.000
Be 0.000 2.194 2.053
Ir 2.194 0.000 2.053
Ir 0.000 0.000 4.105
N 3.291 0.895 -1.026
N 0.895 1.097 1.026
N -1.097 1.299 3.079
N 1.299 1.097 5.131
```

Results
DOS(E_F) in states/eV per atom: 0.34
Formation energy from raw total energies in eV per formula unit: 0.295
Crystal system: tetragonal

---

- What is the DOS(E_F) in the first record?
  1.18 states/eV per atom